[1]
The following is a GGA-PBE calculation of a relaxed Te2OsO6 crystal, from OQMD.

Summary:
- SG = P2_1/c
- calculated total energy (eV/cell) = -110.31

Unit cell a=5.457 b=6.328 c=9.123 alpha=90.00 beta=124.37 gamma=90.00
Last column: magnetic moment on the atom in μB.
Fractional positions:
1 O 0.193 0.846 0.015  0.06
2 O 0.392 0.245 0.087  0.08
3 O 0.855 0.936 0.248  0.04
4 O 0.145 0.436 0.252  0.04
5 O 0.608 0.745 0.413  0.08
6 O 0.807 0.346 0.485  0.06
7 O 0.193 0.654 0.515  0.06
8 O 0.392 0.255 0.587  0.08
9 O 0.855 0.564 0.748  0.04
10 O 0.145 0.064 0.752  0.04
11 O 0.608 0.755 0.913  0.08
12 O 0.807 0.154 0.985  0.06
13 Os 0.500 0.000 0.000  1.41
14 Os 0.500 0.500 0.500  1.39
15 Te 0.210 0.147 0.208  0.04
16 Te 0.790 0.647 0.292  0.04
17 Te 0.210 0.353 0.708  0.04
18 Te 0.790 0.853 0.792  0.04

***

[2]
The following is a GGA-PBE calculation of a relaxed LiAs2Pd2 crystal, from OQMD.

Summary:
- SG = I4/mmm
- calculated total energy (eV/cell) = -23.65

Unit cell a=5.915 b=5.915 c=5.915 alpha=137.63 beta=137.63 gamma=61.46
Fractional positions:
1 As 0.380 0.380 0.000
2 As 0.620 0.620 0.000
3 Li 0.000 0.000 0.000
4 Pd 0.750 0.250 0.500
5 Pd 0.250 0.750 0.500

***

[3]
The following is a GGA-PBE calculation of a relaxed HfSiPb2 crystal, from OQMD.

Summary:
- SG = F-43m
- calculated total energy (eV/cell) = -20.87

Unit cell a=5.160 b=5.160 c=5.160 alpha=60.00 beta=60.00 gamma=60.00
Fractional positions:
1 Hf 0.250 0.250 0.250
2 Pb 0.000 0.000 0.000
3 Pb 0.750 0.750 0.750
4 Si 0.500 0.500 0.500

***

[4]
The following is a GGA-PBE calculation of a relaxed AlZnCu2 crystal, from OQMD.

Summary:
- SG = Pm-3m
- calculated total energy (eV/cell) = -52.18

Unit cell a=5.899 b=5.899 c=5.899 alpha=90.00 beta=90.00 gamma=90.00
Fractional positions:
1 Al 0.000 0.000 0.000
2 Al 0.500 0.000 0.000
3 Al 0.000 0.500 0.000
4 Al 0.000 0.000 0.500
5 Cu 0.250 0.250 0.250
6 Cu 0.750 0.250 0.250
7 Cu 0.250 0.750 0.250
8 Cu 0.750 0.750 0.250
9 Cu 0.250 0.250 0.750
10 Cu 0.750 0.250 0.750
11 Cu 0.250 0.750 0.750
12 Cu 0.750 0.750 0.750
13 Zn 0.500 0.500 0.000
14 Zn 0.500 0.000 0.500
15 Zn 0.000 0.500 0.500
16 Zn 0.500 0.500 0.500

***

[5]
The following is a GGA-PBE calculation of a relaxed Fe4GePC2 crystal, from OQMD.

Summary:
- SG = P-6m2
- calculated total energy (eV/cell) = -61.09

Unit cell a=2.953 b=2.953 c=10.926 alpha=90.00 beta=90.00 gamma=120.00
Last column: magnetic moment on the atom in μB.
Fractional positions:
1 C 0.667 0.333 0.254  -0.05
2 C 0.667 0.333 0.746  -0.05
3 Fe 0.333 0.667 0.176  0.43
4 Fe 0.000 0.000 0.351  0.95
5 Fe 0.000 0.000 0.649  0.96
6 Fe 0.333 0.667 0.824  0.43
7 Ge 0.000 0.000 0.000  -0.01
8 P 0.333 0.667 0.500  -0.03

***

[6]
The following is a GGA-PBE calculation of a relaxed Ho2Hf crystal, from OQMD.

Summary:
- formation enthalpy at 0 K (eV per atom) = 0.6024
- SG = Fd-3m
- calculated total energy (eV/cell) = -34.60

Unit cell a=6.177 b=6.177 c=6.177 alpha=60.00 beta=60.00 gamma=60.00
Last column: magnetic moment on the atom in μB.
Fractional positions:
1 Hf 0.000 0.000 0.000  0.60
2 Hf 0.250 0.250 0.250  0.60
3 Ho 0.625 0.625 0.125  0.16
4 Ho 0.625 0.125 0.625  0.15
5 Ho 0.125 0.625 0.625  0.17
6 Ho 0.625 0.625 0.625  0.15

***

[7]
The following is a GGA-PBE calculation of a relaxed LaNdSn2 crystal, from OQMD.

Summary:
- SG = Cmcm
- calculated total energy (eV/cell) = -38.85

Unit cell a=13.559 b=13.559 c=4.520 alpha=90.00 beta=90.00 gamma=160.86
Fractional positions:
1 La 0.660 0.340 0.250
2 La 0.340 0.660 0.750
3 Nd 0.942 0.058 0.250
4 Nd 0.058 0.942 0.750
5 Sn 0.540 0.460 0.250
6 Sn 0.251 0.749 0.250
7 Sn 0.749 0.251 0.750
8 Sn 0.460 0.540 0.750

***

[8]
The following is a GGA-PBE calculation of a relaxed LiScBiAu crystal, from OQMD.

Summary:
- SG = F-43m
- calculated total energy (eV/cell) = -16.84

Unit cell a=4.945 b=4.945 c=4.945 alpha=60.00 beta=60.00 gamma=60.00
Fractional positions:
1 Au 0.250 0.250 0.250
2 Bi 0.500 0.500 0.500
3 Li 0.750 0.750 0.750
4 Sc 0.000 0.000 0.000

***

[9]
The following is a GGA-PBE calculation of a relaxed Na2TlIr crystal, from OQMD.

Summary:
- SG = F-43m
- calculated total energy (eV/cell) = -12.92

Unit cell a=4.817 b=4.817 c=4.817 alpha=60.00 beta=60.00 gamma=60.00
Fractional positions:
1 Ir 0.250 0.250 0.250
2 Na 0.000 0.000 0.000
3 Na 0.750 0.750 0.750
4 Tl 0.500 0.500 0.500

***

[10]
The following is a GGA-PBE calculation of a relaxed Mo4PPbN2 crystal, from OQMD.

Summary:
- SG = P-6m2
- calculated total energy (eV/cell) = -69.84

Unit cell a=3.327 b=3.327 c=12.156 alpha=90.00 beta=90.00 gamma=120.00
Fractional positions:
1 Mo 0.333 0.667 0.205
2 Mo 0.667 0.333 0.372
3 Mo 0.667 0.333 0.628
4 Mo 0.333 0.667 0.795
5 N 0.000 0.000 0.248
6 N 0.000 0.000 0.752
7 P 0.333 0.667 0.500
8 Pb 0.667 0.333 0.000

***

[11]
The following is a GGA-PBE calculation of a relaxed NdHfCo crystal, from OQMD.

Summary:
- formation enthalpy at 0 K (eV per atom) = 1.1358
- SG = F-43m
- calculated total energy (eV/cell) = -18.42

Unit cell a=4.584 b=4.584 c=4.584 alpha=60.00 beta=60.00 gamma=60.00
Fractional positions:
1 Co 0.250 0.250 0.250
2 Hf 0.750 0.750 0.750
3 Nd 0.000 0.000 0.000

***

[12]
The following is a GGA-PBE calculation of a relaxed ZrBi crystal, from OQMD.

Summary:
- SG = P-6m2
- calculated total energy (eV/cell) = -50.57

Unit cell a=6.562 b=6.562 c=5.458 alpha=90.00 beta=90.00 gamma=120.01
Fractional positions:
1 Bi 0.000 0.000 0.000
2 Bi 0.344 0.172 0.500
3 Bi 0.828 0.172 0.500
4 Bi 0.828 0.656 0.500
5 Zr 0.009 0.504 0.000
6 Zr 0.496 0.504 0.000
7 Zr 0.496 0.991 0.000
8 Zr 0.333 0.667 0.500

***

> The highest calculated total energy belongs to which entry?

Na2TlIr